A.
Here is a geometry-optimized Fe3CoBr structure from the Alexandria database. Energies are from PBE-GGA.

Cell lengths 4.309, 4.309, 4.309 Å; angles 90.00, 90.00, 90.00 degrees
Fractional coordinates of all 5 atoms:
Fe  0.000  0.000  0.500
Fe  0.000  0.500  0.000
Fe  0.500  0.000  0.000
Co  0.500  0.500  0.500
Br  0.000  0.000  0.000

Calculated density in g/cm³: 6.4
Crystal system: cubic
Calculated volume in Å³/atom: 16.004
Density of states at the Fermi level in states/eV per atom: 0.8135
SG: Pm-3m, No. 221

***

B.
Here is a geometry-optimized Fe3CoBr structure from the Alexandria database. Energies are from PBE-GGA.

Cell lengths 4.451, 4.451, 4.451 Å; angles 90.00, 90.00, 90.00 degrees
Fractional coordinates of all 5 atoms:
Fe  0.000  0.000  0.500
Fe  0.000  0.500  0.000
Fe  0.500  0.000  0.000
Co  0.000  0.000  0.000
Br  0.500  0.500  0.500

Calculated density in g/cm³: 5.8
Crystal system: cubic
Calculated volume in Å³/atom: 17.638
Density of states at the Fermi level in states/eV per atom: 1.3464
SG: Pm-3m, No. 221

***

Energy above the most stable structure, in kJ/mol of atoms: A 39.2; B 0.0

***

A.
Here is a geometry-optimized Fe2CoBr structure from the Alexandria database. Energies are from PBE-GGA.

Cell lengths 3.161, 3.161, 6.167 Å; angles 90.00, 90.00, 90.00 degrees
Fractional coordinates of all 4 atoms:
Fe  0.000  0.000  0.188
Fe  0.000  0.000  0.812
Co  0.500  0.500  0.000
Br  0.500  0.500  0.500

Calculated density in g/cm³: 6.8
Crystal system: tetragonal
Calculated volume in Å³/atom: 15.404
Density of states at the Fermi level in states/eV per atom: 0.9205
SG: P4/mmm, No. 123

***

B.
Here is a geometry-optimized Fe2CoBr structure from the Alexandria database. Energies are from PBE-GGA.

Cell lengths 4.873, 4.873, 4.873 Å; angles 135.62, 135.62, 64.57 degrees
Fractional coordinates of all 4 atoms:
Fe  0.000  0.000  0.000
Fe  0.750  0.250  0.500
Co  0.500  0.500  0.000
Br  0.250  0.750  0.500

Calculated density in g/cm³: 7.5
Crystal system: tetragonal
Calculated volume in Å³/atom: 13.956
Density of states at the Fermi level in states/eV per atom: 1.0977
SG: I-4m2, No. 119

***

Energy above the most stable structure, in kJ/mol of atoms: A 0.0; B 30.6

***

A.
Here is a geometry-optimized Fe2CoBr structure from the Alexandria database. Energies are from PBE-GGA.

Cell lengths 5.018, 5.018, 5.018 Å; angles 144.78, 130.27, 62.40 degrees
Fractional coordinates of all 4 atoms:
Fe  0.246  0.246  0.000
Fe  0.754  0.754  0.000
Co  0.000  0.500  0.500
Br  0.500  0.000  0.500

Calculated density in g/cm³: 7.6
Crystal system: orthorhombic
Calculated volume in Å³/atom: 13.749
Density of states at the Fermi level in states/eV per atom: 0.7695
SG: Immm, No. 71

***

B.
Here is a geometry-optimized Fe2CoBr structure from the Alexandria database. Energies are from PBE-GGA.

Cell lengths 3.158, 3.158, 6.172 Å; angles 90.00, 90.00, 90.00 degrees
Fractional coordinates of all 4 atoms:
Fe  0.000  0.000  0.000
Fe  0.500  0.500  0.203
Co  0.500  0.500  0.826
Br  0.000  0.000  0.486

Calculated density in g/cm³: 6.8
Crystal system: tetragonal
Calculated volume in Å³/atom: 15.387
Density of states at the Fermi level in states/eV per atom: 0.8687
SG: P4mm, No. 99

***

C.
Here is a geometry-optimized Fe2CoBr structure from the Alexandria database. Energies are from PBE-GGA.

Cell lengths 6.333, 6.333, 6.333 Å; angles 151.54, 146.73, 44.34 degrees
Fractional coordinates of all 4 atoms:
Fe  0.000  0.000  0.000
Fe  0.636  0.136  0.500
Co  0.470  0.470  0.000
Br  0.272  0.772  0.500

Calculated density in g/cm³: 6.3
Crystal system: orthorhombic
Calculated volume in Å³/atom: 16.556
Density of states at the Fermi level in states/eV per atom: 0.5704
SG: Imm2, No. 44

***

D.
Here is a geometry-optimized Fe2CoBr structure from the Alexandria database. Energies are from PBE-GGA.

Cell lengths 4.151, 4.151, 6.284 Å; angles 94.04, 94.04, 42.13 degrees
Fractional coordinates of all 4 atoms:
Fe  0.000  0.000  0.000
Fe  0.728  0.728  0.176
Co  0.275  0.275  0.870
Br  0.306  0.306  0.489

Calculated density in g/cm³: 5.7
Crystal system: monoclinic
Calculated volume in Å³/atom: 18.108
Density of states at the Fermi level in states/eV per atom: 0.8626
SG: Cm, No. 8

***

Energy above the most stable structure, in kJ/mol of atoms: A 24.3; B 0.0; C 8.7; D 4.2

***

A.
Here is a geometry-optimized Fe2CoBr structure from the Alexandria database. Energies are from PBE-GGA.

Cell lengths 3.953, 3.953, 7.050 Å; angles 115.07, 115.07, 46.84 degrees
Fractional coordinates of all 4 atoms:
Fe  0.136  0.136  0.341
Fe  0.864  0.864  0.659
Co  0.500  0.500  0.500
Br  0.500  0.500  0.000

Calculated density in g/cm³: 5.8
Crystal system: monoclinic
Calculated volume in Å³/atom: 17.821
Density of states at the Fermi level in states/eV per atom: 0.7739
SG: C2/m, No. 12

***

B.
Here is a geometry-optimized Fe2CoBr structure from the Alexandria database. Energies are from PBE-GGA.

Cell lengths 3.689, 3.689, 4.103 Å; angles 90.00, 90.00, 90.00 degrees
Fractional coordinates of all 4 atoms:
Fe  0.000  0.500  0.000
Fe  0.500  0.000  0.000
Co  0.000  0.000  0.500
Br  0.500  0.500  0.500

Calculated density in g/cm³: 7.4
Crystal system: tetragonal
Calculated volume in Å³/atom: 13.961
Density of states at the Fermi level in states/eV per atom: 1.1082
SG: P4/mmm, No. 123

***

Energy above the most stable structure, in kJ/mol of atoms: A 0.0; B 28.9

***

A.
Here is a geometry-optimized Fe2CoBr structure from the Alexandria database. Energies are from PBE-GGA.

Cell lengths 4.273, 4.273, 4.273 Å; angles 60.00, 60.00, 60.00 degrees
Fractional coordinates of all 4 atoms:
Fe  0.000  0.000  0.000
Fe  0.250  0.250  0.250
Co  0.750  0.750  0.750
Br  0.500  0.500  0.500

Calculated density in g/cm³: 7.5
Crystal system: cubic
Calculated volume in Å³/atom: 13.797
Density of states at the Fermi level in states/eV per atom: 0.8153
SG: F-43m, No. 216

***

B.
Here is a geometry-optimized Fe2CoBr structure from the Alexandria database. Energies are from PBE-GGA.

Cell lengths 4.266, 4.266, 4.266 Å; angles 60.00, 60.00, 60.00 degrees
Fractional coordinates of all 4 atoms:
Fe  0.250  0.250  0.250
Fe  0.750  0.750  0.750
Co  0.000  0.000  0.000
Br  0.500  0.500  0.500

Calculated density in g/cm³: 7.6
Crystal system: cubic
Calculated volume in Å³/atom: 13.723
Density of states at the Fermi level in states/eV per atom: 1.1687
SG: Fm-3m, No. 225

***

Energy above the most stable structure, in kJ/mol of atoms: A 0.0; B 1.7

***

A.
Here is a geometry-optimized Fe2CoBr structure from the Alexandria database. Energies are from PBE-GGA.

Cell lengths 2.998, 3.210, 6.696 Å; angles 90.00, 90.00, 90.00 degrees
Fractional coordinates of all 4 atoms:
Fe  0.000  0.000  0.181
Fe  0.000  0.000  0.819
Co  0.500  0.500  0.000
Br  0.500  0.000  0.500

Calculated density in g/cm³: 6.5
Crystal system: orthorhombic
Calculated volume in Å³/atom: 16.110
Density of states at the Fermi level in states/eV per atom: 0.8997
SG: Pmmm, No. 47

***

B.
Here is a geometry-optimized Fe2CoBr structure from the Alexandria database. Energies are from PBE-GGA.

Cell lengths 4.339, 4.339, 3.051 Å; angles 90.00, 90.00, 102.98 degrees
Fractional coordinates of all 4 atoms:
Fe  0.000  0.500  0.000
Fe  0.500  0.000  0.000
Co  0.000  0.000  0.500
Br  0.500  0.500  0.500

Calculated density in g/cm³: 7.4
Crystal system: orthorhombic
Calculated volume in Å³/atom: 13.995
Density of states at the Fermi level in states/eV per atom: 1.1295
SG: Cmmm, No. 65

***

C.
Here is a geometry-optimized Fe2CoBr structure from the Alexandria database. Energies are from PBE-GGA.

Cell lengths 3.198, 3.074, 6.550 Å; angles 90.00, 90.30, 90.00 degrees
Fractional coordinates of all 4 atoms:
Fe  0.000  0.000  0.000
Fe  0.498  0.500  0.810
Co  0.501  0.500  0.172
Br  0.554  0.000  0.493

Calculated density in g/cm³: 6.5
Crystal system: monoclinic
Calculated volume in Å³/atom: 16.096
Density of states at the Fermi level in states/eV per atom: 0.8615
SG: Pm, No. 6

***

Energy above the most stable structure, in kJ/mol of atoms: A 0.0; B 33.7; C 0.7